(1)
{
  "formula": "Fe4Ni5",
  "functional": "PBE-GGA",
  "state": "relaxed",
  "total_magnetization_mub_per_cell": 13.88,
  "n_ef_per_ev_fu": 9.3,
  "space_group": "I4/m",
  "formation_energy_mev_per_atom": 23,
  "dft_energy_ha_per_atom": -0.255,
  "lattice": [[2.657, 0.000, 0.000], [1.329, 6.212, 0.000], [1.329, 0.000, 6.212]],
  "species": ["Fe", "Fe", "Fe", "Fe", "Ni", "Ni", "Ni", "Ni", "Ni"],
  "fractional_positions": [[0.030, 0.304, 0.637], [0.970, 0.696, 0.363], [0.334, 0.637, 0.696], [0.666, 0.363, 0.304], [0.000, 0.000, 0.000], [0.319, 0.030, 0.332], [0.651, 0.668, 0.030], [0.349, 0.332, 0.970], [0.681, 0.970, 0.668]]
}

(2)
{
  "formula": "Fe2Ni",
  "functional": "PBE-GGA",
  "state": "relaxed",
  "total_magnetization_mub_per_cell": 5.85,
  "n_ef_per_ev_fu": 3.2,
  "space_group": "P-3m1",
  "formation_energy_mev_per_atom": 47,
  "dft_energy_ha_per_atom": -0.276,
  "lattice": [[2.531, 0.000, 0.000], [-1.265, 2.192, 0.000], [0.000, 0.000, 6.262]],
  "species": ["Fe", "Fe", "Ni"],
  "fractional_positions": [[0.667, 0.333, 0.328], [0.333, 0.667, 0.672], [0.000, 0.000, 0.000]]
}

(3)
{
  "formula": "FeNi3",
  "functional": "PBE-GGA",
  "state": "relaxed",
  "total_magnetization_mub_per_cell": 9.73,
  "n_ef_per_ev_fu": 2.7,
  "space_group": "P6_3/mmc",
  "formation_energy_mev_per_atom": -86,
  "dft_energy_ha_per_atom": -0.240,
  "lattice": [[-3.522, -1.685, 3.159], [2.857, -3.255, -2.544], [2.711, 0.012, 3.030]],
  "species": ["Ni", "Ni", "Ni", "Ni", "Ni", "Ni", "Fe", "Fe"],
  "fractional_positions": [[0.835, 0.165, 0.250], [0.835, 0.669, 0.250], [0.331, 0.165, 0.250], [0.669, 0.835, 0.750], [0.165, 0.835, 0.750], [0.165, 0.331, 0.750], [0.333, 0.667, 0.250], [0.667, 0.333, 0.750]]
}

(4)
{
  "formula": "FeNi3",
  "functional": "PBE-GGA",
  "state": "relaxed",
  "total_magnetization_mub_per_cell": 4.40,
  "n_ef_per_ev_fu": 3.5,
  "space_group": "Fm-3m",
  "formation_energy_mev_per_atom": 26,
  "dft_energy_ha_per_atom": -0.236,
  "lattice": [[3.987, 0.000, 0.000], [1.994, 3.453, 0.000], [1.994, 1.151, 3.256]],
  "species": ["Ni", "Ni", "Ni", "Fe"],
  "fractional_positions": [[0.500, 0.500, 0.500], [0.750, 0.750, 0.750], [0.250, 0.250, 0.250], [0.000, 0.000, 0.000]]
}

(5)
{
  "formula": "Fe2Ni",
  "functional": "PBE-GGA",
  "state": "relaxed",
  "total_magnetization_mub_per_cell": 9.93,
  "n_ef_per_ev_fu": 2.0,
  "space_group": "Fd-3m",
  "formation_energy_mev_per_atom": 175,
  "dft_energy_ha_per_atom": -0.272,
  "lattice": [[0.000, 3.276, 3.276], [3.276, 0.000, 3.276], [3.276, 3.276, 0.000]],
  "species": ["Fe", "Fe", "Fe", "Fe", "Ni", "Ni"],
  "fractional_positions": [[0.625, 0.125, 0.625], [0.125, 0.625, 0.625], [0.625, 0.625, 0.125], [0.625, 0.625, 0.625], [0.000, 0.000, 0.000], [0.250, 0.250, 0.250]]
}

(6)
{
  "formula": "FeNi3",
  "functional": "PBE-GGA",
  "state": "relaxed",
  "total_magnetization_mub_per_cell": 4.65,
  "n_ef_per_ev_fu": 4.6,
  "space_group": "P-6m2",
  "formation_energy_mev_per_atom": -10,
  "dft_energy_ha_per_atom": -0.237,
  "lattice": [[-0.752, 1.815, 1.557], [-1.248, -2.172, -0.088], [4.837, -3.017, 5.854]],
  "species": ["Ni", "Ni", "Ni", "Fe"],
  "fractional_positions": [[0.667, 0.333, 0.249], [0.000, 0.000, 0.500], [0.667, 0.333, 0.751], [0.000, 0.000, 0.000]]
}